First-principles (GGA-PBE) data for a relaxed structure of MgFeOs, as listed in Alexandria via LeMat-Bulk.

Values from the calculation:
**Energy relative to the lowest polymorph listed for this composition**: 0.009 eV per atom
**Electronic total energy**: -83.42 eV per cell

Lattice parameters (Å, degrees): 9.329 4.006 6.597 90.00 132.71 90.00
Space group C2/m (No. 12)
Inequivalent atoms, fractional coordinates:
Mg  0.077  0.000  0.329 [4 per cell]
Fe  0.152  0.500  0.715 [4 per cell]
Os  0.163  0.500  0.078 [4 per cell]